[1]
DFT (PBE) results for a relaxed CsLiTl2Ge crystal.

Cell lengths 5.805, 5.805, 5.283 Å; angles 90.00, 90.00, 90.00 degrees
Space group P4/mmm (No. 123)
Unique sites:
1 Cs 0.000 0.000 0.000
2 Li 0.500 0.500 0.000
3 Tl 0.000 0.500 0.500
4 Ge 0.500 0.500 0.500

- DOS(E_F): 0.59 states/eV/atom
- Final energy: -2.3951 eV/atom
- Density: 5.80 g/cm³
- E_form: 0.028 eV/atom


[2]
DFT (PBE) results for a relaxed CsMg2Ge crystal.

Cell lengths 6.359, 6.359, 17.048 Å; angles 90.00, 90.00, 90.00 degrees
Space group I4_1/amd (No. 141, origin choice 2)
Unique sites:
1 Cs 0.000 0.250 0.375
2 Mg 0.000 0.000 0.000
3 Ge 0.000 0.250 0.875

- DOS(E_F): 0.77 states/eV/atom
- Final energy: -2.0276 eV/atom
- Density: 2.45 g/cm³
- E_form: 0.137 eV/atom


[3]
DFT (PBE) results for a relaxed CsMg2Ge2 crystal.

Cell lengths 4.948, 4.948, 11.025 Å; angles 90.00, 90.00, 90.00 degrees
Space group I4/mmm (No. 139)
Unique sites:
1 Cs 0.000 0.000 0.000
2 Mg 0.000 0.500 0.250
3 Ge 0.000 0.000 0.383

- DOS(E_F): 0.55 states/eV/atom
- Final energy: -2.7721 eV/atom
- Energy relative to the lowest polymorph listed for this composition: 0.00 kJ per mole of atoms
- Density: 4.02 g/cm³
- E_form: -0.117 eV/atom


[4]
DFT (PBE) results for a relaxed CsMg2Ge2 crystal.

Cell lengths 8.995, 8.995, 3.114 Å; angles 90.00, 90.00, 90.00 degrees
Space group P4/mbm (No. 127)
Unique sites:
1 Cs 0.000 0.000 0.000
2 Mg 0.127 0.373 0.000
3 Ge 0.153 0.653 0.500

- DOS(E_F): 0.29 states/eV/atom
- Final energy: -2.6358 eV/atom
- Energy relative to the lowest polymorph listed for this composition: 13.15 kJ per mole of atoms
- Density: 4.31 g/cm³
- E_form: 0.020 eV/atom